# K2PrP2S6 PBE relaxed
# - Total magnetic moment: 0.000 μB/atom
# - E: -4.7683 eV/atom
# - Formation energy from raw total energies: -899.4 meV per atom
# - Fermi-level density of states: 0.20 states/eV per atom
data_K2PrP2S6
_chemical_formula_sum 'K2 Pr1 P2 S6'
_cell_length_a 6.994
_cell_length_b 6.884
_cell_length_c 8.153
_cell_angle_alpha 114.57
_cell_angle_beta 90.00
_cell_angle_gamma 120.53
_symmetry_space_group_name_H-M 'P 1'
_symmetry_Int_Tables_number 1
_symmetry_space_group_name_Hall 'P 1'
loop_
_atom_site_label
_atom_site_type_symbol
_atom_site_fract_x
_atom_site_fract_y
_atom_site_fract_z
S1 S 0.707 0.896 0.194
S2 S 0.236 0.472 0.374
Pr1 Pr 0.500 0.000 0.500
K1 K 0.708 0.416 0.194
S3 S 0.293 0.104 0.806
P1 P 0.959 0.919 0.829
K2 K 0.292 0.584 0.806
S4 S 0.764 0.528 0.626
S5 S 0.189 0.896 0.194
P2 P 0.041 0.081 0.171
S6 S 0.811 0.104 0.806

***

# Sm11Ho4Tm9 PBE relaxed
# - Total magnetic moment: 0.000 μB/atom
# - E: -4.5473 eV/atom
# - Energy of formation from the pure elements: 1.3 kcal/mol of atoms
# - Fermi-level density of states: 1.26 states/eV per atom
data_Sm11Ho4Tm9
_chemical_formula_sum 'Sm11 Ho4 Tm9'
_cell_length_a 3.629
_cell_length_b 15.212
_cell_length_c 15.212
_cell_angle_alpha 113.14
_cell_angle_beta 90.00
_cell_angle_gamma 90.00
_symmetry_space_group_name_H-M 'P 1'
_symmetry_Int_Tables_number 1
_symmetry_space_group_name_Hall 'P 1'
loop_
_atom_site_label
_atom_site_type_symbol
_atom_site_fract_x
_atom_site_fract_y
_atom_site_fract_z
Ho1 Ho 0.500 0.242 0.445
Sm1 Sm 0.000 0.708 0.708
Tm1 Tm 0.500 0.500 0.500
Ho2 Ho 0.500 0.445 0.242
Sm2 Sm 0.000 0.292 0.292
Tm2 Tm 0.500 0.068 0.214
Tm3 Tm 0.500 0.631 0.165
Tm4 Tm 0.500 0.932 0.786
Sm3 Sm 0.000 0.632 0.368
Sm4 Sm 0.000 0.957 0.594
Sm5 Sm 0.000 0.043 0.406
Sm6 Sm 0.000 0.840 0.160
Sm7 Sm 0.000 0.368 0.632
Sm8 Sm 0.000 0.406 0.043
Sm9 Sm 0.000 0.160 0.840
Tm5 Tm 0.500 0.835 0.369
Sm10 Sm 0.000 0.000 0.000
Tm6 Tm 0.500 0.786 0.932
Ho3 Ho 0.500 0.555 0.758
Tm7 Tm 0.500 0.165 0.631
Tm8 Tm 0.500 0.214 0.068
Ho4 Ho 0.500 0.758 0.555
Tm9 Tm 0.500 0.369 0.835
Sm11 Sm 0.000 0.594 0.957

***

# BeWSe PBE relaxed
# - Excess energy over the best structure of this formula in the dataset: 679 meV per atom
# - Total magnetic moment: 0.000 μB/atom
# - E: -5.8377 eV/atom
# - Formation energy from raw total energies: 883.6 meV per atom
# - Fermi-level density of states: 0.10 states/eV per atom
data_BeWSe
_chemical_formula_sum 'Be1 W1 Se1'
_cell_length_a 4.076
_cell_length_b 4.076
_cell_length_c 4.076
_cell_angle_alpha 60.00
_cell_angle_beta 60.00
_cell_angle_gamma 60.00
_symmetry_space_group_name_H-M 'P 1'
_symmetry_Int_Tables_number 1
_symmetry_space_group_name_Hall 'P 1'
loop_
_atom_site_label
_atom_site_type_symbol
_atom_site_fract_x
_atom_site_fract_y
_atom_site_fract_z
W1 W 0.000 0.000 0.000
Se1 Se 0.750 0.750 0.750
Be1 Be 0.500 0.500 0.500

***

# RbYTe2N PBE relaxed
# - Excess energy over the best structure of this formula in the dataset: 1319 meV per atom
# - Total magnetic moment: 0.358 μB/atom
# - E: -3.3859 eV/atom
# - Formation energy from raw total energies: 1022.1 meV per atom
# - Fermi-level density of states: 0.50 states/eV per atom
data_RbYTe2N
_chemical_formula_sum 'Rb1 Y1 Te2 N1'
_cell_length_a 6.077
_cell_length_b 6.077
_cell_length_c 4.453
_cell_angle_alpha 90.00
_cell_angle_beta 90.00
_cell_angle_gamma 90.00
_symmetry_space_group_name_H-M 'P 1'
_symmetry_Int_Tables_number 1
_symmetry_space_group_name_Hall 'P 1'
loop_
_atom_site_label
_atom_site_type_symbol
_atom_site_fract_x
_atom_site_fract_y
_atom_site_fract_z
Y1 Y 0.500 0.500 0.500
N1 N 0.000 0.000 0.500
Te1 Te 0.000 0.500 0.000
Rb1 Rb 0.000 0.000 0.000
Te2 Te 0.500 0.000 0.000

***

# Cd2In2Te PBE relaxed
# - Excess energy over the best structure of this formula in the dataset: 0 meV per atom
# - Total magnetic moment: 0.000 μB/atom
# - E: -2.0930 eV/atom
# - Formation energy from raw total energies: -3.3 meV per atom
# - Fermi-level density of states: 0.47 states/eV per atom
data_Cd2In2Te
_chemical_formula_sum 'Cd4 In4 Te2'
_cell_length_a 7.967
_cell_length_b 7.967
_cell_length_c 4.454
_cell_angle_alpha 90.00
_cell_angle_beta 90.00
_cell_angle_gamma 90.00
_symmetry_space_group_name_H-M 'P 1'
_symmetry_Int_Tables_number 1
_symmetry_space_group_name_Hall 'P 1'
loop_
_atom_site_label
_atom_site_type_symbol
_atom_site_fract_x
_atom_site_fract_y
_atom_site_fract_z
Cd1 Cd 0.371 0.871 0.000
Cd2 Cd 0.629 0.129 0.000
Cd3 Cd 0.129 0.371 0.000
In1 In 0.173 0.673 0.500
Te1 Te 0.500 0.500 0.000
Te2 Te 0.000 0.000 0.000
In2 In 0.327 0.173 0.500
Cd4 Cd 0.871 0.629 0.000
In3 In 0.827 0.327 0.500
In4 In 0.673 0.827 0.500

***

# Pm4Sb8Rh3 PBE relaxed
# - Total magnetic moment: 0.000 μB/atom
# - E: -5.7376 eV/atom
# - Formation energy from raw total energies: -801.9 meV per atom
# - Fermi-level density of states: 0.72 states/eV per atom
data_Pm4Sb8Rh3
_chemical_formula_sum 'Pm4 Sb8 Rh3'
_cell_length_a 4.436
_cell_length_b 4.436
_cell_length_c 19.514
_cell_angle_alpha 90.00
_cell_angle_beta 90.00
_cell_angle_gamma 90.00
_symmetry_space_group_name_H-M 'P 1'
_symmetry_Int_Tables_number 1
_symmetry_space_group_name_Hall 'P 1'
loop_
_atom_site_label
_atom_site_type_symbol
_atom_site_fract_x
_atom_site_fract_y
_atom_site_fract_z
Pm1 Pm 0.500 0.000 0.881
Rh1 Rh 0.000 0.000 0.500
Sb1 Sb 0.500 0.500 0.752
Rh2 Rh 0.500 0.500 0.500
Sb2 Sb 0.500 0.000 0.576
Sb3 Sb 0.000 0.500 0.933
Sb4 Sb 0.500 0.000 0.067
Pm2 Pm 0.000 0.500 0.119
Sb5 Sb 0.000 0.000 0.247
Sb6 Sb 0.000 0.000 0.753
Sb7 Sb 0.000 0.500 0.424
Pm3 Pm 0.000 0.500 0.625
Sb8 Sb 0.500 0.500 0.248
Pm4 Pm 0.500 0.000 0.375
Rh3 Rh 0.000 0.000 0.000

***

# ScRe2Ge2 PBE relaxed
# - Total magnetic moment: 0.000 μB/atom
# - E: -8.1457 eV/atom
# - Energy of formation from the pure elements: -1.2 kcal/mol of atoms
# - Fermi-level density of states: 0.63 states/eV per atom
data_ScRe2Ge2
_chemical_formula_sum 'Sc2 Re4 Ge4'
_cell_length_a 7.239
_cell_length_b 7.239
_cell_length_c 3.061
_cell_angle_alpha 90.00
_cell_angle_beta 90.00
_cell_angle_gamma 90.00
_symmetry_space_group_name_H-M 'P 1'
_symmetry_Int_Tables_number 1
_symmetry_space_group_name_Hall 'P 1'
loop_
_atom_site_label
_atom_site_type_symbol
_atom_site_fract_x
_atom_site_fract_y
_atom_site_fract_z
Re1 Re 0.353 0.147 0.500
Re2 Re 0.647 0.853 0.500
Re3 Re 0.147 0.647 0.500
Re4 Re 0.853 0.353 0.500
Ge1 Ge 0.354 0.854 0.000
Sc1 Sc 0.500 0.500 0.000
Ge2 Ge 0.646 0.146 0.000
Ge3 Ge 0.146 0.354 0.000
Sc2 Sc 0.000 0.000 0.000
Ge4 Ge 0.854 0.646 0.000

***

# Sr3GaGe3 PBE relaxed
# - Excess energy over the best structure of this formula in the dataset: 0 meV per atom
# - Total magnetic moment: 0.000 μB/atom
# - E: -3.6876 eV/atom
# - Energy of formation from the pure elements: -12.8 kcal/mol of atoms
# - Fermi-level density of states: 0.29 states/eV per atom
data_Sr3GaGe3
_chemical_formula_sum 'Sr6 Ga2 Ge6'
_cell_length_a 4.714
_cell_length_b 6.309
_cell_length_c 14.066
_cell_angle_alpha 83.03
_cell_angle_beta 80.35
_cell_angle_gamma 68.06
_symmetry_space_group_name_H-M 'P 1'
_symmetry_Int_Tables_number 1
_symmetry_space_group_name_Hall 'P 1'
loop_
_atom_site_label
_atom_site_type_symbol
_atom_site_fract_x
_atom_site_fract_y
_atom_site_fract_z
Sr1 Sr 0.520 0.343 0.618
Sr2 Sr 0.394 0.289 0.924
Ge1 Ge 0.101 0.875 0.924
Ge2 Ge 0.975 0.822 0.227
Ge3 Ge 0.899 0.125 0.076
Sr3 Sr 0.733 0.763 0.772
Ga1 Ga 0.222 0.950 0.607
Ge4 Ge 0.025 0.178 0.773
Sr4 Sr 0.606 0.711 0.076
Ge5 Ge 0.841 0.769 0.549
Sr5 Sr 0.480 0.657 0.382
Ga2 Ga 0.778 0.050 0.393
Ge6 Ge 0.159 0.231 0.451
Sr6 Sr 0.267 0.237 0.228

***

# Sc2CdW PBE relaxed
# - Total magnetic moment: 0.000 μB/atom
# - E: -6.3313 eV/atom
# - Energy of formation from the pure elements: 7.0 kcal/mol of atoms
# - Fermi-level density of states: 0.56 states/eV per atom
data_Sc2CdW
_chemical_formula_sum 'Sc2 Cd1 W1'
_cell_length_a 3.650
_cell_length_b 3.650
_cell_length_c 6.138
_cell_angle_alpha 90.00
_cell_angle_beta 90.00
_cell_angle_gamma 90.00
_symmetry_space_group_name_H-M 'P 1'
_symmetry_Int_Tables_number 1
_symmetry_space_group_name_Hall 'P 1'
loop_
_atom_site_label
_atom_site_type_symbol
_atom_site_fract_x
_atom_site_fract_y
_atom_site_fract_z
Cd1 Cd 0.500 0.500 0.745
W1 W 0.000 0.000 0.474
Sc1 Sc 0.500 0.500 0.285
Sc2 Sc 0.000 0.000 0.997

***

# LiTmZrCo PBE relaxed
# - Total magnetic moment: 0.000 μB/atom
# - E: -5.5621 eV/atom
# - Energy of formation from the pure elements: -1.2 kcal/mol of atoms
# - Fermi-level density of states: 0.86 states/eV per atom
data_LiTmZrCo
_chemical_formula_sum 'Li1 Tm1 Zr1 Co1'
_cell_length_a 4.676
_cell_length_b 4.676
_cell_length_c 4.676
_cell_angle_alpha 60.00
_cell_angle_beta 60.00
_cell_angle_gamma 60.00
_symmetry_space_group_name_H-M 'P 1'
_symmetry_Int_Tables_number 1
_symmetry_space_group_name_Hall 'P 1'
loop_
_atom_site_label
_atom_site_type_symbol
_atom_site_fract_x
_atom_site_fract_y
_atom_site_fract_z
Li1 Li 0.000 0.000 0.000
Tm1 Tm 0.750 0.750 0.750
Co1 Co 0.500 0.500 0.500
Zr1 Zr 0.250 0.250 0.250

***

# Li3Dy2PaSe6 PBE relaxed
# - Total magnetic moment: 0.134 μB/atom
# - E: -5.3106 eV/atom
# - Formation energy from raw total energies: -1531.5 meV per atom
# - Fermi-level density of states: 0.55 states/eV per atom
data_Li3Dy2PaSe6
_chemical_formula_sum 'Li3 Dy2 Pa1 Se6'
_cell_length_a 7.010
_cell_length_b 7.010
_cell_length_c 6.945
_cell_angle_alpha 99.69
_cell_angle_beta 99.69
_cell_angle_gamma 120.00
_symmetry_space_group_name_H-M 'P 1'
_symmetry_Int_Tables_number 1
_symmetry_space_group_name_Hall 'P 1'
loop_
_atom_site_label
_atom_site_type_symbol
_atom_site_fract_x
_atom_site_fract_y
_atom_site_fract_z
Pa1 Pa 0.000 0.000 0.000
Se1 Se 0.086 0.419 0.258
Li1 Li 0.500 0.500 0.500
Se2 Se 0.581 0.914 0.742
Dy1 Dy 0.667 0.333 0.000
Dy2 Dy 0.333 0.667 0.000
Li2 Li 0.168 0.832 0.500
Se3 Se 0.247 0.247 0.743
Se4 Se 0.753 0.753 0.257
Li3 Li 0.832 0.168 0.500
Se5 Se 0.419 0.086 0.258
Se6 Se 0.914 0.581 0.742

***

# PmGeBi2O8 PBE relaxed
# - Total magnetic moment: 0.255 μB/atom
# - E: -5.8835 eV/atom
# - Formation energy from raw total energies: -1150.5 meV per atom
# - Fermi-level density of states: 0.34 states/eV per atom
data_PmGeBi2O8
_chemical_formula_sum 'Pm1 Ge1 Bi2 O8'
_cell_length_a 5.077
_cell_length_b 5.077
_cell_length_c 7.150
_cell_angle_alpha 90.00
_cell_angle_beta 90.00
_cell_angle_gamma 120.00
_symmetry_space_group_name_H-M 'P 1'
_symmetry_Int_Tables_number 1
_symmetry_space_group_name_Hall 'P 1'
loop_
_atom_site_label
_atom_site_type_symbol
_atom_site_fract_x
_atom_site_fract_y
_atom_site_fract_z
Bi1 Bi 0.333 0.667 0.815
O1 O 0.159 0.318 0.180
O2 O 0.333 0.667 0.532
O3 O 0.667 0.333 0.468
O4 O 0.841 0.682 0.820
O5 O 0.318 0.159 0.820
Pm1 Pm 0.000 0.000 0.500
Bi2 Bi 0.667 0.333 0.185
Ge1 Ge 0.000 0.000 0.000
O6 O 0.841 0.159 0.820
O7 O 0.159 0.841 0.180
O8 O 0.682 0.841 0.180

***

Copy entry 6 word for word.
# Pm4Sb8Rh3 PBE relaxed
# - Total magnetic moment: 0.000 μB/atom
# - E: -5.7376 eV/atom
# - Formation energy from raw total energies: -801.9 meV per atom
# - Fermi-level density of states: 0.72 states/eV per atom
data_Pm4Sb8Rh3
_chemical_formula_sum 'Pm4 Sb8 Rh3'
_cell_length_a 4.436
_cell_length_b 4.436
_cell_length_c 19.514
_cell_angle_alpha 90.00
_cell_angle_beta 90.00
_cell_angle_gamma 90.00
_symmetry_space_group_name_H-M 'P 1'
_symmetry_Int_Tables_number 1
_symmetry_space_group_name_Hall 'P 1'
loop_
_atom_site_label
_atom_site_type_symbol
_atom_site_fract_x
_atom_site_fract_y
_atom_site_fract_z
Pm1 Pm 0.500 0.000 0.881
Rh1 Rh 0.000 0.000 0.500
Sb1 Sb 0.500 0.500 0.752
Rh2 Rh 0.500 0.500 0.500
Sb2 Sb 0.500 0.000 0.576
Sb3 Sb 0.000 0.500 0.933
Sb4 Sb 0.500 0.000 0.067
Pm2 Pm 0.000 0.500 0.119
Sb5 Sb 0.000 0.000 0.247
Sb6 Sb 0.000 0.000 0.753
Sb7 Sb 0.000 0.500 0.424
Pm3 Pm 0.000 0.500 0.625
Sb8 Sb 0.500 0.500 0.248
Pm4 Pm 0.500 0.000 0.375
Rh3 Rh 0.000 0.000 0.000

***

> Which value of total magnetic moment does entry 11 give?

0.134 μB/atom

***

What did the sixth record say?
# Pm4Sb8Rh3 PBE relaxed
# - Total magnetic moment: 0.000 μB/atom
# - E: -5.7376 eV/atom
# - Formation energy from raw total energies: -801.9 meV per atom
# - Fermi-level density of states: 0.72 states/eV per atom
data_Pm4Sb8Rh3
_chemical_formula_sum 'Pm4 Sb8 Rh3'
_cell_length_a 4.436
_cell_length_b 4.436
_cell_length_c 19.514
_cell_angle_alpha 90.00
_cell_angle_beta 90.00
_cell_angle_gamma 90.00
_symmetry_space_group_name_H-M 'P 1'
_symmetry_Int_Tables_number 1
_symmetry_space_group_name_Hall 'P 1'
loop_
_atom_site_label
_atom_site_type_symbol
_atom_site_fract_x
_atom_site_fract_y
_atom_site_fract_z
Pm1 Pm 0.500 0.000 0.881
Rh1 Rh 0.000 0.000 0.500
Sb1 Sb 0.500 0.500 0.752
Rh2 Rh 0.500 0.500 0.500
Sb2 Sb 0.500 0.000 0.576
Sb3 Sb 0.000 0.500 0.933
Sb4 Sb 0.500 0.000 0.067
Pm2 Pm 0.000 0.500 0.119
Sb5 Sb 0.000 0.000 0.247
Sb6 Sb 0.000 0.000 0.753
Sb7 Sb 0.000 0.500 0.424
Pm3 Pm 0.000 0.500 0.625
Sb8 Sb 0.500 0.500 0.248
Pm4 Pm 0.500 0.000 0.375
Rh3 Rh 0.000 0.000 0.000